1.
Entry from the Alexandria database: a relaxed structure of Tm5Mg4In (PBE).

Unit cell a=3.751 b=3.751 c=18.598 alpha=90.00 beta=90.00 gamma=90.00
Fractional positions:
Tm  0.000  0.000  0.000
Tm  0.000  0.000  0.201
Tm  0.000  0.000  0.400
Tm  0.000  0.000  0.600
Tm  0.000  0.000  0.799
Mg  0.500  0.500  0.101
Mg  0.500  0.500  0.300
Mg  0.500  0.500  0.700
Mg  0.500  0.500  0.899
In  0.500  0.500  0.500

---

2.
Entry from the Alexandria database: a relaxed structure of Tm2Mg2In3 (PBE).

Unit cell a=5.004 b=5.013 c=8.919 alpha=74.46 beta=74.23 gamma=60.37
Fractional positions:
Tm  0.118  0.119  0.143
Tm  0.882  0.881  0.857
Mg  0.371  0.372  0.387
Mg  0.629  0.628  0.613
In  0.256  0.254  0.733
In  0.500  0.500  0.000
In  0.744  0.746  0.267

---

3.
Entry from the Alexandria database: a relaxed structure of TmMg4In (PBE).

Properties
**Relative energy among the computed polymorphs**: 0.0 meV/atom

Unit cell a=3.602 b=3.602 c=11.106 alpha=90.00 beta=90.00 gamma=90.00
Fractional positions:
Tm  0.000  0.000  0.000
Mg  0.000  0.000  0.342
Mg  0.000  0.000  0.658
Mg  0.500  0.500  0.185
Mg  0.500  0.500  0.815
In  0.500  0.500  0.500

---

4.
Entry from the Alexandria database: a relaxed structure of Tm4MgIn2 (PBE).

Properties
**Relative energy among the computed polymorphs**: 97.1 meV/atom

Unit cell a=7.469 b=6.390 c=8.853 alpha=90.00 beta=112.93 gamma=90.00
Fractional positions:
Tm  0.081  0.250  0.051
Tm  0.140  0.004  0.719
Tm  0.140  0.496  0.719
Tm  0.297  0.750  0.327
Tm  0.703  0.250  0.673
Tm  0.860  0.504  0.281
Tm  0.860  0.996  0.281
Tm  0.919  0.750  0.949
Mg  0.487  0.750  0.710
Mg  0.513  0.250  0.290
In  0.248  0.250  0.450
In  0.440  0.750  0.038
In  0.560  0.250  0.962
In  0.752  0.750  0.550

---

Table of final energy (eV/atom), in record order: -3.29 -3.11 -2.34 -3.68
Table of E_form (meV/atom), in record order: -146 -200 -74 -118
Table of D(E_F) (states/eV per atom), in record order: 1.06 0.49 0.47 0.84